1.
An optimized crystal structure of Co2NiPbN, computed with PBE-GGA. Values from VASP.

```
&SYSTEM
  ibrav = 0, nat = 5, ntyp = 4
/
ATOMIC_SPECIES
Co 58.93 Co.upf
Ni 58.69 Ni.upf
Pb 207.20 Pb.upf
N 14.01 N.upf
CELL_PARAMETERS angstrom
3.9076 0.0000 0.0000
0.0000 3.9076 0.0000
0.0000 0.0000 4.0183
ATOMIC_POSITIONS angstrom
Co 0.0000 1.9538 0.0000
Co 1.9538 0.0000 0.0000
Ni 0.0000 0.0000 2.0091
Pb 1.9538 1.9538 2.0091
N 0.0000 0.0000 0.0000
```

Output
Density of states at the Fermi level (states/eV per atom): 1.06
Formation energy without anion corrections (eV/atom): 0.21
Space group: No. 123

=====

2.
An optimized crystal structure of ReAg2Pb, computed with PBE-GGA. Values from VASP.

```
&SYSTEM
  ibrav = 0, nat = 8, ntyp = 3
/
ATOMIC_SPECIES
Re 186.21 Re.upf
Ag 107.87 Ag.upf
Pb 207.20 Pb.upf
CELL_PARAMETERS angstrom
4.0476 0.0000 0.0000
0.0000 4.0476 0.0000
0.0000 0.0000 9.4681
ATOMIC_POSITIONS angstrom
Re 0.0000 0.0000 0.0000
Re 2.0238 2.0238 4.7340
Ag 0.0000 2.0238 2.3670
Ag 0.0000 2.0238 7.1011
Ag 2.0238 0.0000 2.3670
Ag 2.0238 0.0000 7.1011
Pb 0.0000 0.0000 4.7340
Pb 2.0238 2.0238 0.0000
```

Output
ΔE_f (meV/atom): 884
Density of states at the Fermi level (states/eV per atom): 0.85
Space group: No. 139

=====

3.
An optimized crystal structure of TlZn2Cu, computed with PBE-GGA. Values from VASP.

```
&SYSTEM
  ibrav = 0, nat = 16, ntyp = 3
/
ATOMIC_SPECIES
Tl 204.38 Tl.upf
Zn 65.41 Zn.upf
Cu 63.55 Cu.upf
CELL_PARAMETERS angstrom
6.6096 0.0000 0.0000
0.0000 6.6096 0.0000
0.0000 0.0000 6.6096
ATOMIC_POSITIONS angstrom
Tl 0.0000 0.0000 0.0000
Tl 0.0000 3.3048 3.3048
Tl 3.3048 0.0000 3.3048
Tl 3.3048 3.3048 0.0000
Zn 0.0000 0.0000 3.3048
Zn 0.0000 3.3048 0.0000
Zn 1.6524 1.6524 4.9572
Zn 1.6524 4.9572 1.6524
Zn 3.3048 0.0000 0.0000
Zn 3.3048 3.3048 3.3048
Zn 4.9572 1.6524 1.6524
Zn 4.9572 4.9572 4.9572
Cu 1.6524 1.6524 1.6524
Cu 1.6524 4.9572 4.9572
Cu 4.9572 1.6524 4.9572
Cu 4.9572 4.9572 1.6524
```

Output
ΔE_f (meV/atom): 291
Density of states at the Fermi level (states/eV per atom): 0.48
Energy above the lowest structure with this stoichiometry (meV per atom): 163
Space group: No. 216

=====

4.
An optimized crystal structure of TaInSe, computed with PBE-GGA. Values from VASP.

```
&SYSTEM
  ibrav = 0, nat = 3, ntyp = 3
/
ATOMIC_SPECIES
Ta 180.95 Ta.upf
In 114.82 In.upf
Se 78.96 Se.upf
CELL_PARAMETERS angstrom
3.3060 0.0000 0.0000
-1.6530 2.8631 0.0000
0.0000 0.0000 6.6651
ATOMIC_POSITIONS angstrom
Ta 0.0000 0.0000 0.0000
In 1.6530 0.9544 2.2853
Se 0.0000 1.9087 4.9392
```

Output
Density of states at the Fermi level (states/eV per atom): 0.32
Formation energy without anion corrections (eV/atom): -0.26
Energy above the lowest structure with this stoichiometry (meV per atom): 0
Space group: No. 156

=====

5.
An optimized crystal structure of KSr2Cu, computed with PBE-GGA. Values from VASP.

```
&SYSTEM
  ibrav = 0, nat = 4, ntyp = 3
/
ATOMIC_SPECIES
K 39.10 K.upf
Sr 87.62 Sr.upf
Cu 63.55 Cu.upf
CELL_PARAMETERS angstrom
4.3206 0.0000 0.0000
0.0000 4.3206 0.0000
0.0000 0.0000 9.9851
ATOMIC_POSITIONS angstrom
K 0.0000 0.0000 0.0000
Sr 0.0000 0.0000 6.1702
Sr 2.1603 2.1603 3.4554
Cu 2.1603 2.1603 6.7841
```

Output
ΔE_f (meV/atom): 132
Density of states at the Fermi level (states/eV per atom): 0.69
Energy above the lowest structure with this stoichiometry (meV per atom): 105
Space group: No. 99

=====

6.
An optimized crystal structure of Rb3In2Pb4, computed with PBE-GGA. Values from VASP.

```
&SYSTEM
  ibrav = 0, nat = 9, ntyp = 3
/
ATOMIC_SPECIES
Rb 85.47 Rb.upf
In 114.82 In.upf
Pb 207.20 Pb.upf
CELL_PARAMETERS angstrom
5.1846 0.0000 0.0000
2.5569 7.2060 0.0000
0.0925 3.9302 9.7931
ATOMIC_POSITIONS angstrom
Rb 0.0000 0.0000 0.0000
Rb 2.6359 4.2101 6.1741
Rb 5.1981 6.9262 3.6190
In 2.6204 4.0442 2.4397
In 5.2136 7.0921 7.3534
Pb 2.5951 8.5754 6.4796
Pb 2.6784 6.6196 9.3027
Pb 5.1556 4.5167 0.4904
Pb 5.2389 2.5609 3.3135
```

Output
ΔE_f (meV/atom): -81
Density of states at the Fermi level (states/eV per atom): 0.60
Energy above the lowest structure with this stoichiometry (meV per atom): 8
Space group: No. 2